{
  "formula": "ReTcW2N",
  "functional": "PBE",
  "state": "optimized geometry",
  "n_ef_per_ev_cell": 3.5,
  "total_magnetization_mub_per_cell": 0.0,
  "raw_formation_energy_ev_per_atom": 0.09,
  "lattice": [[4.114, 0.000, 0.000], [0.000, 4.114, 0.000], [0.000, 0.000, 4.053]],
  "species": ["Re", "Tc", "W", "W", "N"],
  "fractional_positions": [[0.000, 0.000, 0.500], [0.500, 0.500, 0.500], [0.000, 0.500, 0.000], [0.500, 0.000, 0.000], [0.000, 0.000, 0.000]]
}